1.
Material: ZrPaRe4
Method: DFT, PBE-GGA
State: relaxed

Lattice parameters (Å, degrees): 7.6169 7.6169 7.6169 90.00 90.00 90.00
Space group F-43m (No. 216)
Unique sites:
Zr: 0.0000 0.0000 0.0000
Pa: 0.2500 0.2500 0.2500
Re: 0.1255 0.1255 0.6255

Density of states at the Fermi level: 1.66 states/eV per atom
Total DFT energy (no corrections): -11.465 eV per atom
Density: 16.0 Mg/m³
Energy of formation from the pure elements: -0.159 eV/atom

2.
Material: ZrPa2Re
Method: DFT, PBE-GGA
State: relaxed

Lattice parameters (Å, degrees): 3.0923 3.0923 32.0676 90.00 90.00 120.00
Space group R-3m (No. 166, hexagonal axes)
Unique sites:
Zr: 0.0000 0.0000 0.0000
Pa: 0.0000 0.0000 0.0940
Re: 0.0000 0.0000 0.5000

Distance to the lowest polymorph of the same formula: 214 meV per atom
Density of states at the Fermi level: 1.19 states/eV per atom
Total DFT energy (no corrections): -9.679 eV per atom
Density: 13.9 Mg/m³
Energy of formation from the pure elements: 0.318 eV/atom

3.
Material: ZrPaRe
Method: DFT, PBE-GGA
State: relaxed

Lattice parameters (Å, degrees): 9.0837 5.8708 9.6197 90.00 90.00 90.00
Space group Amm2 (No. 38)
Unique sites:
Zr: 0.1660 0.0000 0.0000
Zr: 0.2686 0.0000 0.6688
Pa: 0.2366 0.0000 0.3361
Pa: 0.5000 0.2428 0.9242
Re: 0.0000 0.0000 0.5039
Re: 0.0000 0.2488 0.7491
Re: 0.5000 0.0000 0.1661

Distance to the lowest polymorph of the same formula: 32 meV per atom
Density of states at the Fermi level: 1.32 states/eV per atom
Total DFT energy (no corrections): -10.174 eV per atom
Density: 13.2 Mg/m³
Energy of formation from the pure elements: -0.010 eV/atom

4.
Material: Zr2PaRe
Method: DFT, PBE-GGA
State: relaxed

Lattice parameters (Å, degrees): 3.2818 3.2818 7.9466 90.00 90.00 90.00
Space group P4/mmm (No. 123)
Unique sites:
Zr: 0.0000 0.0000 0.2052
Pa: 0.5000 0.5000 0.5000
Re: 0.5000 0.5000 0.0000

Distance to the lowest polymorph of the same formula: 0 meV per atom
Density of states at the Fermi level: 1.48 states/eV per atom
Total DFT energy (no corrections): -9.793 eV per atom
Density: 11.6 Mg/m³
Energy of formation from the pure elements: -0.033 eV/atom

5.
Material: Zr2PaRe
Method: DFT, PBE-GGA
State: relaxed

Lattice parameters (Å, degrees): 6.8716 6.8716 6.8716 90.00 90.00 90.00
Space group Fm-3m (No. 225)
Unique sites:
Zr: 0.2500 0.2500 0.2500
Pa: 0.0000 0.0000 0.0000
Re: 0.0000 0.0000 0.5000

Distance to the lowest polymorph of the same formula: 61 meV per atom
Density of states at the Fermi level: 1.30 states/eV per atom
Total DFT energy (no corrections): -9.732 eV per atom
Density: 12.3 Mg/m³
Energy of formation from the pure elements: 0.028 eV/atom

6.
Material: ZrPa2Re
Method: DFT, PBE-GGA
State: relaxed

Lattice parameters (Å, degrees): 3.2408 3.2408 8.7353 90.00 90.00 90.00
Space group P4/mmm (No. 123)
Unique sites:
Zr: 0.0000 0.0000 0.0000
Pa: 0.5000 0.5000 0.2873
Re: 0.0000 0.0000 0.5000

Distance to the lowest polymorph of the same formula: 0 meV per atom
Density of states at the Fermi level: 1.83 states/eV per atom
Total DFT energy (no corrections): -9.893 eV per atom
Density: 13.4 Mg/m³
Energy of formation from the pure elements: 0.104 eV/atom

7.
Material: PaRh
Method: DFT, PBE-GGA
State: relaxed

Lattice parameters (Å, degrees): 4.3405 3.4010 5.3926 90.00 90.00 90.00
Space group Pmma (No. 51)
Unique sites:
Pa: 0.2500 0.0000 0.1945
Rh: 0.2500 0.5000 0.6821

Density of states at the Fermi level: 0.90 states/eV per atom
Total DFT energy (no corrections): -9.155 eV per atom
Density: 13.9 Mg/m³
Energy of formation from the pure elements: -0.732 eV/atom

8.
Material: PaRh4
Method: DFT, PBE-GGA
State: relaxed

Lattice parameters (Å, degrees): 4.8285 4.8285 4.8285 90.00 90.00 90.00
Space group Pm-3m (No. 221)
Unique sites:
Pa: 0.0000 0.0000 0.0000
Rh: 0.0000 0.0000 0.5000
Rh: 0.5000 0.5000 0.5000

Density of states at the Fermi level: 1.62 states/eV per atom
Total DFT energy (no corrections): -6.902 eV per atom
Density: 9.5 Mg/m³
Energy of formation from the pure elements: 0.878 eV/atom

9.
Material: Pa3Rh
Method: DFT, PBE-GGA
State: relaxed

Lattice parameters (Å, degrees): 6.3347 9.6663 6.0082 90.00 90.00 90.00
Space group Pnma (No. 62)
Unique sites:
Pa: 0.0539 0.2500 0.1623
Pa: 0.2213 0.0386 0.6263
Rh: 0.0743 0.7500 0.3758

Distance to the lowest polymorph of the same formula: 42 meV per atom
Density of states at the Fermi level: 1.92 states/eV per atom
Total DFT energy (no corrections): -9.262 eV per atom
Density: 14.4 Mg/m³
Energy of formation from the pure elements: -0.302 eV/atom

10.
Material: PaRh2
Method: DFT, PBE-GGA
State: relaxed

Lattice parameters (Å, degrees): 7.5194 7.5194 7.5194 90.00 90.00 90.00
Space group Fd-3m (No. 227, origin choice 2)
Unique sites:
Pa: 0.1250 0.1250 0.1250
Rh: 0.0000 0.0000 0.5000

Density of states at the Fermi level: 0.97 states/eV per atom
Total DFT energy (no corrections): -8.762 eV per atom
Density: 13.6 Mg/m³
Energy of formation from the pure elements: -0.696 eV/atom

11.
Material: Pa3Rh
Method: DFT, PBE-GGA
State: relaxed

Lattice parameters (Å, degrees): 3.3842 5.5028 9.6605 90.00 90.00 90.00
Space group Immm (No. 71)
Unique sites:
Pa: 0.0000 0.0000 0.0000
Pa: 0.0000 0.5000 0.2351
Rh: 0.0000 0.0000 0.5000

Distance to the lowest polymorph of the same formula: 0 meV per atom
Density of states at the Fermi level: 1.42 states/eV per atom
Total DFT energy (no corrections): -9.305 eV per atom
Density: 14.7 Mg/m³
Energy of formation from the pure elements: -0.345 eV/atom

12.
Material: PaRh5
Method: DFT, PBE-GGA
State: relaxed

Lattice parameters (Å, degrees): 2.9669 10.3647 13.0298 90.00 90.00 90.00
Space group Cmcm (No. 63)
Unique sites:
Pa: 0.0000 0.1719 0.2500
Rh: 0.0000 0.0963 0.7500
Rh: 0.0000 0.2983 0.0781
Rh: 0.0000 0.4455 0.6004

Density of states at the Fermi level: 1.56 states/eV per atom
Total DFT energy (no corrections): -7.855 eV per atom
Density: 12.4 Mg/m³
Energy of formation from the pure elements: -0.146 eV/atom

13.
Material: Pa3Rh5
Method: DFT, PBE-GGA
State: relaxed

Lattice parameters (Å, degrees): 7.2667 9.1051 4.5894 90.00 90.00 90.00
Space group Cmmm (No. 65)
Unique sites:
Pa: 0.0000 0.0000 0.0000
Pa: 0.0000 0.2980 0.5000
Rh: 0.0000 0.5000 0.0000
Rh: 0.2075 0.0000 0.5000
Rh: 0.2500 0.2500 0.0000

Density of states at the Fermi level: 1.24 states/eV per atom
Total DFT energy (no corrections): -8.891 eV per atom
Density: 13.2 Mg/m³
Energy of formation from the pure elements: -0.735 eV/atom

14.
Material: PaRh3
Method: DFT, PBE-GGA
State: relaxed

Lattice parameters (Å, degrees): 4.0854 4.0854 8.0155 90.00 90.00 90.00
Space group I4/mmm (No. 139)
Unique sites:
Pa: 0.0000 0.0000 0.0000
Rh: 0.0000 0.0000 0.5000
Rh: 0.0000 0.5000 0.2500

Density of states at the Fermi level: 0.98 states/eV per atom
Total DFT energy (no corrections): -8.652 eV per atom
Density: 13.4 Mg/m³
Energy of formation from the pure elements: -0.764 eV/atom

15.
Material: Pa3Rh2
Method: DFT, PBE-GGA
State: relaxed

Lattice parameters (Å, degrees): 9.2262 4.7614 5.6271 90.00 123.36 90.00
Space group C2/m (No. 12)
Unique sites:
Pa: 0.0000 0.0000 0.0000
Pa: 0.2012 0.0000 0.6097
Rh: 0.1169 0.5000 0.8115

Density of states at the Fermi level: 1.60 states/eV per atom
Total DFT energy (no corrections): -9.060 eV per atom
Density: 14.5 Mg/m³
Energy of formation from the pure elements: -0.422 eV/atom

16.
Material: Pa2Rh3
Method: DFT, PBE-GGA
State: relaxed

Lattice parameters (Å, degrees): 5.8785 12.3450 5.8180 90.00 90.00 90.00
Space group Ibam (No. 72)
Unique sites:
Pa: 0.2189 0.1433 0.0000
Rh: 0.0000 0.5000 0.2500
Rh: 0.2313 0.1373 0.5000

Density of states at the Fermi level: 0.75 states/eV per atom
Total DFT energy (no corrections): -8.891 eV per atom
Density: 12.1 Mg/m³
Energy of formation from the pure elements: -0.682 eV/atom

17.
Material: Pa3Rh
Method: DFT, PBE-GGA
State: relaxed

Lattice parameters (Å, degrees): 4.0605 4.0605 5.3824 90.00 90.00 90.00
Space group P4/mmm (No. 123)
Unique sites:
Pa: 0.0000 0.0000 0.0000
Pa: 0.0000 0.5000 0.5000
Rh: 0.5000 0.5000 0.0000

Distance to the lowest polymorph of the same formula: 152 meV per atom
Density of states at the Fermi level: 1.48 states/eV per atom
Total DFT energy (no corrections): -9.153 eV per atom
Density: 14.9 Mg/m³
Energy of formation from the pure elements: -0.193 eV/atom

18.
Material: PaRh4
Method: DFT, PBE-GGA
State: relaxed

Lattice parameters (Å, degrees): 4.2231 5.6248 13.8130 90.00 90.00 90.00
Space group Imma (No. 74)
Unique sites:
Pa: 0.0000 0.2500 0.1059
Rh: 0.0000 0.0000 0.5000
Rh: 0.0000 0.0112 0.6955
Rh: 0.0000 0.2500 0.8920

Density of states at the Fermi level: 0.86 states/eV per atom
Total DFT energy (no corrections): -8.409 eV per atom
Density: 13.0 Mg/m³
Energy of formation from the pure elements: -0.629 eV/atom

19.
Material: Pa3Rh
Method: DFT, PBE-GGA
State: relaxed

Lattice parameters (Å, degrees): 4.2996 4.2996 9.6701 90.00 90.00 90.00
Space group I4/mmm (No. 139)
Unique sites:
Pa: 0.0000 0.0000 0.0000
Pa: 0.0000 0.5000 0.2500
Rh: 0.0000 0.0000 0.5000

Distance to the lowest polymorph of the same formula: 279 meV per atom
Density of states at the Fermi level: 2.83 states/eV per atom
Total DFT energy (no corrections): -9.026 eV per atom
Density: 14.8 Mg/m³
Energy of formation from the pure elements: -0.066 eV/atom

20.
Material: PaRh3
Method: DFT, PBE-GGA
State: relaxed

Lattice parameters (Å, degrees): 4.0579 4.0579 4.0579 90.00 90.00 90.00
Space group Pm-3m (No. 221)
Unique sites:
Pa: 0.0000 0.0000 0.0000
Rh: 0.0000 0.5000 0.5000

Density of states at the Fermi level: 0.89 states/eV per atom
Total DFT energy (no corrections): -8.781 eV per atom
Density: 13.4 Mg/m³
Energy of formation from the pure elements: -0.894 eV/atom

21.
Material: PaRh
Method: DFT, PBE-GGA
State: relaxed

Lattice parameters (Å, degrees): 7.6693 3.8945 5.7586 90.00 90.00 90.00
Space group Pnma (No. 62)
Unique sites:
Pa: 0.1673 0.2500 0.1684
Rh: 0.0713 0.2500 0.6744

Density of states at the Fermi level: 1.39 states/eV per atom
Total DFT energy (no corrections): -9.151 eV per atom
Density: 12.9 Mg/m³
Energy of formation from the pure elements: -0.728 eV/atom

22.
Material: PaRh2
Method: DFT, PBE-GGA
State: relaxed

Lattice parameters (Å, degrees): 5.0387 5.0715 4.7133 90.00 110.75 90.00
Space group C2/m (No. 12)
Unique sites:
Pa: 0.0000 0.0000 0.0000
Rh: 0.1860 0.5000 0.3174

Density of states at the Fermi level: 1.00 states/eV per atom
Total DFT energy (no corrections): -8.768 eV per atom
Density: 12.9 Mg/m³
Energy of formation from the pure elements: -0.702 eV/atom

23.
Material: PaRh
Method: DFT, PBE-GGA
State: relaxed

Lattice parameters (Å, degrees): 5.6335 5.6335 5.6335 90.00 90.00 90.00
Space group Fm-3m (No. 225)
Unique sites:
Pa: 0.0000 0.0000 0.0000
Rh: 0.0000 0.0000 0.5000

Density of states at the Fermi level: 1.22 states/eV per atom
Total DFT energy (no corrections): -9.109 eV per atom
Density: 12.4 Mg/m³
Energy of formation from the pure elements: -0.685 eV/atom

24.
Material: Pa8Ru5Rh
Method: DFT, PBE-GGA
State: relaxed

Lattice parameters (Å, degrees): 8.5279 8.5279 8.4746 90.00 90.00 90.00
Space group I-4 (No. 82)
Unique sites:
Pa: 0.0550 0.3098 0.4295
Pa: 0.0572 0.1955 0.8199
Ru: 0.0000 0.5000 0.7500
Ru: 0.1274 0.2485 0.1268
Rh: 0.0000 0.0000 0.5000

Density of states at the Fermi level: 1.21 states/eV per atom
Total DFT energy (no corrections): -9.702 eV per atom
Density: 13.2 Mg/m³
Energy of formation from the pure elements: -0.437 eV/atom

25.
Material: Pa2Ru4Rh
Method: DFT, PBE-GGA
State: relaxed

Lattice parameters (Å, degrees): 7.9470 7.9647 3.9929 90.00 90.00 90.00
Space group Cmmm (No. 65)
Unique sites:
Pa: 0.0000 0.2263 0.0000
Ru: 0.2368 0.5000 0.0000
Ru: 0.2500 0.2500 0.5000
Rh: 0.0000 0.5000 0.5000

Density of states at the Fermi level: 0.96 states/eV per atom
Total DFT energy (no corrections): -9.414 eV per atom
Density: 12.7 Mg/m³
Energy of formation from the pure elements: -0.350 eV/atom

26.
Material: PaRu2Rh
Method: DFT, PBE-GGA
State: relaxed

Lattice parameters (Å, degrees): 5.7206 8.1089 5.7162 90.00 90.00 90.00
Space group Imma (No. 74)
Unique sites:
Pa: 0.0000 0.0000 0.0000
Ru: 0.0000 0.0000 0.5000
Ru: 0.2500 0.2500 0.2500
Rh: 0.2500 0.2500 0.7500

Distance to the lowest polymorph of the same formula: 0 meV per atom
Density of states at the Fermi level: 0.97 states/eV per atom
Total DFT energy (no corrections): -9.400 eV per atom
Density: 13.4 Mg/m³
Energy of formation from the pure elements: -0.550 eV/atom

Number 1: volume 441.9 Å³ per cell. Number 2: volume 265.6 Å³ per cell. Number 3: volume 513.0 Å³ per cell. Number 4: volume 85.6 Å³ per cell. Number 5: volume 324.5 Å³ per cell. Number 6: volume 91.7 Å³ per cell. Number 7: volume 79.6 Å³ per cell. Number 8: volume 112.6 Å³ per cell. Number 9: volume 367.9 Å³ per cell. Number 10: volume 425.1 Å³ per cell. Number 11: volume 179.9 Å³ per cell. Number 12: volume 400.7 Å³ per cell. Number 13: volume 303.7 Å³ per cell. Number 14: volume 133.8 Å³ per cell. Number 15: volume 206.5 Å³ per cell. Number 16: volume 422.2 Å³ per cell. Number 17: volume 88.7 Å³ per cell. Number 18: volume 328.1 Å³ per cell. Number 19: volume 178.8 Å³ per cell. Number 20: volume 66.8 Å³ per cell. Number 21: volume 172.0 Å³ per cell. Number 22: volume 112.6 Å³ per cell. Number 23: volume 178.8 Å³ per cell. Number 24: volume 616.3 Å³ per cell. Number 25: volume 252.7 Å³ per cell. Number 26: volume 265.2 Å³ per cell.